Record 1
The following is a PBE-GGA calculation of a geometry-optimized Li2ScPd9 structure, from Alexandria.

V: 15.2 A^3/atom
Energy relative to the elements: -0.45 eV/atom

The structure in CIF format:
```
data_Li2ScPd9
_space_group_name_H-M_alt 'P 1'
_space_group_IT_number 1
_cell_length_a 3.9573
_cell_length_b 3.9573
_cell_length_c 11.6566
_cell_angle_alpha 90.00
_cell_angle_beta 90.00
_cell_angle_gamma 90.00
loop_
_space_group_symop_operation_xyz
'x,y,z'
loop_
_atom_site_label
_atom_site_type_symbol
_atom_site_fract_x
_atom_site_fract_y
_atom_site_fract_z
_atom_site_occupancy
Pd1 Pd 0.0000 0.5000 0.8273 1
Pd2 Pd 0.5000 0.0000 0.8273 1
Pd3 Pd 0.5000 0.5000 0.6634 1
Pd4 Pd 0.5000 0.0000 0.1727 1
Pd5 Pd 0.5000 0.0000 0.5000 1
Pd6 Pd 0.0000 0.5000 0.1727 1
Pd7 Pd 0.5000 0.5000 0.0000 1
Pd8 Pd 0.5000 0.5000 0.3366 1
Pd9 Pd 0.0000 0.5000 0.5000 1
Sc1 Sc 0.0000 0.0000 0.0000 1
Li1 Li 0.0000 0.0000 0.3384 1
Li2 Li 0.0000 0.0000 0.6616 1
```

Record 2
The following is a PBE-GGA calculation of a geometry-optimized LiSc6Pd5 structure, from Alexandria.

V: 18.3 A^3/atom
Energy relative to the elements: -0.75 eV/atom

The structure in CIF format:
```
data_LiSc6Pd5
_space_group_name_H-M_alt 'P 1'
_space_group_IT_number 1
_cell_length_a 4.6765
_cell_length_b 8.1293
_cell_length_c 8.1293
_cell_angle_alpha 119.81
_cell_angle_beta 106.72
_cell_angle_gamma 106.72
loop_
_space_group_symop_operation_xyz
'x,y,z'
loop_
_atom_site_label
_atom_site_type_symbol
_atom_site_fract_x
_atom_site_fract_y
_atom_site_fract_z
_atom_site_occupancy
Pd1 Pd 0.0000 0.6721 0.3279 1
Pd2 Pd 0.5000 0.5000 0.5000 1
Pd3 Pd 0.5000 0.8407 0.1593 1
Pd4 Pd 0.5000 0.1593 0.8407 1
Pd5 Pd 0.0000 0.3279 0.6721 1
Li1 Li 0.0000 0.0000 0.0000 1
Sc1 Sc 0.7578 0.2578 0.2578 1
Sc2 Sc 0.2542 0.0858 0.4227 1
Sc3 Sc 0.7458 0.5773 0.9142 1
Sc4 Sc 0.7458 0.9142 0.5773 1
Sc5 Sc 0.2422 0.7422 0.7422 1
Sc6 Sc 0.2542 0.4227 0.0858 1
```

Record 3
The following is a PBE-GGA calculation of a geometry-optimized Li2Sc2Pd3 structure, from Alexandria.

V: 17.6 A^3/atom
Energy relative to the elements: -0.66 eV/atom

The structure in CIF format:
```
data_Li2Sc2Pd3
_space_group_name_H-M_alt 'P 1'
_space_group_IT_number 1
_cell_length_a 3.2999
_cell_length_b 3.2292
_cell_length_c 11.7076
_cell_angle_alpha 90.00
_cell_angle_beta 81.90
_cell_angle_gamma 90.00
loop_
_space_group_symop_operation_xyz
'x,y,z'
loop_
_atom_site_label
_atom_site_type_symbol
_atom_site_fract_x
_atom_site_fract_y
_atom_site_fract_z
_atom_site_occupancy
Pd1 Pd 0.1392 0.0000 0.7216 1
Pd2 Pd 0.0000 0.0000 0.0000 1
Pd3 Pd 0.8608 0.0000 0.2784 1
Li1 Li 0.2974 0.5000 0.4051 1
Li2 Li 0.7026 0.5000 0.5949 1
Sc1 Sc 0.5737 0.5000 0.8526 1
Sc2 Sc 0.4263 0.5000 0.1474 1
```

Record 4
The following is a PBE-GGA calculation of a geometry-optimized Li2ScPd3 structure, from Alexandria.

V: 15.1 A^3/atom
Energy relative to the elements: -0.65 eV/atom

The structure in CIF format:
```
data_Li2ScPd3
_space_group_name_H-M_alt 'P 1'
_space_group_IT_number 1
_cell_length_a 4.2693
_cell_length_b 6.7310
_cell_length_c 6.6493
_cell_angle_alpha 90.00
_cell_angle_beta 90.00
_cell_angle_gamma 71.51
loop_
_space_group_symop_operation_xyz
'x,y,z'
loop_
_atom_site_label
_atom_site_type_symbol
_atom_site_fract_x
_atom_site_fract_y
_atom_site_fract_z
_atom_site_occupancy
Li1 Li 0.6701 0.6597 0.5000 1
Li2 Li 0.0000 0.0000 0.0000 1
Li3 Li 0.3299 0.3403 0.5000 1
Li4 Li 0.0000 0.0000 0.5000 1
Pd1 Pd 0.8343 0.3314 0.7413 1
Pd2 Pd 0.8343 0.3314 0.2587 1
Pd3 Pd 0.5000 0.0000 0.7299 1
Pd4 Pd 0.1657 0.6686 0.7413 1
Pd5 Pd 0.5000 0.0000 0.2701 1
Pd6 Pd 0.1657 0.6686 0.2587 1
Sc1 Sc 0.6560 0.6879 0.0000 1
Sc2 Sc 0.3440 0.3121 0.0000 1
```

Record 5
The following is a PBE-GGA calculation of a geometry-optimized Li2Sc2Pd5 structure, from Alexandria.

V: 15.8 A^3/atom
Energy relative to the elements: -0.61 eV/atom

The structure in CIF format:
```
data_Li2Sc2Pd5
_space_group_name_H-M_alt 'P 1'
_space_group_IT_number 1
_cell_length_a 6.6346
_cell_length_b 5.8213
_cell_length_c 8.5679
_cell_angle_alpha 109.86
_cell_angle_beta 112.78
_cell_angle_gamma 90.00
loop_
_space_group_symop_operation_xyz
'x,y,z'
loop_
_atom_site_label
_atom_site_type_symbol
_atom_site_fract_x
_atom_site_fract_y
_atom_site_fract_z
_atom_site_occupancy
Sc1 Sc 0.7972 0.7873 0.5000 1
Sc2 Sc 0.5000 0.5373 0.0000 1
Sc3 Sc 0.0000 0.0373 0.0000 1
Sc4 Sc 0.2028 0.2873 0.5000 1
Li1 Li 0.4766 0.9691 0.8635 1
Li2 Li 0.1130 0.6056 0.1365 1
Li3 Li 0.5234 0.1056 0.1365 1
Li4 Li 0.8870 0.4691 0.8635 1
Pd1 Pd 0.7939 0.2873 0.5000 1
Pd2 Pd 0.4019 0.4392 0.3038 1
Pd3 Pd 0.5981 0.6355 0.6962 1
Pd4 Pd 0.1419 0.1793 0.7839 1
Pd5 Pd 0.1419 0.6793 0.7839 1
Pd6 Pd 0.2061 0.7873 0.5000 1
Pd7 Pd 0.5981 0.1355 0.6962 1
Pd8 Pd 0.8581 0.8954 0.2161 1
Pd9 Pd 0.4019 0.9392 0.3038 1
Pd10 Pd 0.8581 0.3954 0.2161 1
```

Record 6
The following is a PBE-GGA calculation of a geometry-optimized Li3ScPd2 structure, from Alexandria.

V: 16.2 A^3/atom
Energy relative to the elements: -0.47 eV/atom

The structure in CIF format:
```
data_Li3ScPd2
_space_group_name_H-M_alt 'P 1'
_space_group_IT_number 1
_cell_length_a 3.6929
_cell_length_b 7.6281
_cell_length_c 7.7906
_cell_angle_alpha 67.44
_cell_angle_beta 76.29
_cell_angle_gamma 75.99
loop_
_space_group_symop_operation_xyz
'x,y,z'
loop_
_atom_site_label
_atom_site_type_symbol
_atom_site_fract_x
_atom_site_fract_y
_atom_site_fract_z
_atom_site_occupancy
Pd1 Pd 0.2389 0.3756 0.1466 1
Pd2 Pd 0.5784 0.0527 0.7905 1
Pd3 Pd 0.4216 0.9473 0.2095 1
Pd4 Pd 0.7611 0.6244 0.8534 1
Li1 Li 0.5900 0.5262 0.2937 1
Li2 Li 0.7461 0.1215 0.3864 1
Li3 Li 0.0872 0.2762 0.5493 1
Li4 Li 0.2539 0.8785 0.6136 1
Li5 Li 0.9128 0.7238 0.4507 1
Li6 Li 0.4100 0.4738 0.7063 1
Sc1 Sc 0.8991 0.2152 0.9865 1
Sc2 Sc 0.1009 0.7848 0.0135 1
```

Record 7
The following is a PBE-GGA calculation of a geometry-optimized LiSc4Pd7 structure, from Alexandria.

V: 18.3 A^3/atom
Energy relative to the elements: -0.63 eV/atom

The structure in CIF format:
```
data_LiSc4Pd7
_space_group_name_H-M_alt 'P 1'
_space_group_IT_number 1
_cell_length_a 4.7845
_cell_length_b 8.8893
_cell_length_c 5.8809
_cell_angle_alpha 80.24
_cell_angle_beta 66.00
_cell_angle_gamma 74.39
loop_
_space_group_symop_operation_xyz
'x,y,z'
loop_
_atom_site_label
_atom_site_type_symbol
_atom_site_fract_x
_atom_site_fract_y
_atom_site_fract_z
_atom_site_occupancy
Pd1 Pd 0.9235 0.3172 0.8357 1
Pd2 Pd 0.6334 0.4753 0.2578 1
Pd3 Pd 0.7903 0.9085 0.5109 1
Pd4 Pd 0.2097 0.0915 0.4891 1
Pd5 Pd 0.5000 0.0000 0.0000 1
Pd6 Pd 0.3666 0.5247 0.7422 1
Pd7 Pd 0.0765 0.6828 0.1643 1
Sc1 Sc 0.2366 0.3435 0.1833 1
Sc2 Sc 0.4101 0.7804 0.3994 1
Sc3 Sc 0.7634 0.6565 0.8167 1
Sc4 Sc 0.5899 0.2196 0.6006 1
Li1 Li 0.0000 0.0000 0.0000 1
```

Record 8
The following is a PBE-GGA calculation of a geometry-optimized Li4ScPd5 structure, from Alexandria.

V: 14.5 A^3/atom
Energy relative to the elements: -0.54 eV/atom

The structure in CIF format:
```
data_Li4ScPd5
_space_group_name_H-M_alt 'P 1'
_space_group_IT_number 1
_cell_length_a 3.1004
_cell_length_b 3.1004
_cell_length_c 15.0442
_cell_angle_alpha 90.00
_cell_angle_beta 90.00
_cell_angle_gamma 90.00
loop_
_space_group_symop_operation_xyz
'x,y,z'
loop_
_atom_site_label
_atom_site_type_symbol
_atom_site_fract_x
_atom_site_fract_y
_atom_site_fract_z
_atom_site_occupancy
Pd1 Pd 0.5000 0.5000 0.5000 1
Pd2 Pd 0.5000 0.5000 0.8870 1
Pd3 Pd 0.5000 0.5000 0.6919 1
Pd4 Pd 0.5000 0.5000 0.3081 1
Pd5 Pd 0.5000 0.5000 0.1130 1
Sc1 Sc 0.0000 0.0000 0.0000 1
Li1 Li 0.0000 0.0000 0.5946 1
Li2 Li 0.0000 0.0000 0.2171 1
Li3 Li 0.0000 0.0000 0.4054 1
Li4 Li 0.0000 0.0000 0.7829 1
```

Record 9
The following is a PBE-GGA calculation of a geometry-optimized Li2Sc2Pd structure, from Alexandria.

V: 18.3 A^3/atom
Energy relative to the elements: -0.08 eV/atom

The structure in CIF format:
```
data_Li2Sc2Pd
_space_group_name_H-M_alt 'P 1'
_space_group_IT_number 1
_cell_length_a 6.3721
_cell_length_b 6.3721
_cell_length_c 4.5044
_cell_angle_alpha 90.00
_cell_angle_beta 90.00
_cell_angle_gamma 90.00
loop_
_space_group_symop_operation_xyz
'x,y,z'
loop_
_atom_site_label
_atom_site_type_symbol
_atom_site_fract_x
_atom_site_fract_y
_atom_site_fract_z
_atom_site_occupancy
Sc1 Sc 0.8139 0.3139 0.5000 1
Sc2 Sc 0.6861 0.8139 0.5000 1
Sc3 Sc 0.1861 0.6861 0.5000 1
Sc4 Sc 0.3139 0.1861 0.5000 1
Li1 Li 0.6310 0.1310 0.0000 1
Li2 Li 0.3690 0.8690 0.0000 1
Li3 Li 0.8690 0.6310 0.0000 1
Li4 Li 0.1310 0.3690 0.0000 1
Pd1 Pd 0.5000 0.5000 0.0000 1
Pd2 Pd 0.0000 0.0000 0.0000 1
```

Record 10
The following is a PBE-GGA calculation of a geometry-optimized LiScPd6 structure, from Alexandria.

V: 15.5 A^3/atom
Energy relative to the elements: -0.55 eV/atom

The structure in CIF format:
```
data_LiScPd6
_space_group_name_H-M_alt 'P 1'
_space_group_IT_number 1
_cell_length_a 3.9803
_cell_length_b 3.9803
_cell_length_c 7.8235
_cell_angle_alpha 90.00
_cell_angle_beta 90.00
_cell_angle_gamma 90.00
loop_
_space_group_symop_operation_xyz
'x,y,z'
loop_
_atom_site_label
_atom_site_type_symbol
_atom_site_fract_x
_atom_site_fract_y
_atom_site_fract_z
_atom_site_occupancy
Pd1 Pd 0.0000 0.5000 0.2547 1
Pd2 Pd 0.5000 0.5000 0.5000 1
Pd3 Pd 0.0000 0.5000 0.7453 1
Pd4 Pd 0.5000 0.0000 0.2547 1
Pd5 Pd 0.5000 0.5000 0.0000 1
Pd6 Pd 0.5000 0.0000 0.7453 1
Sc1 Sc 0.0000 0.0000 0.0000 1
Li1 Li 0.0000 0.0000 0.5000 1
```

> What is the formula in the second record?

LiSc6Pd5

> Number 3 is which compound?

Li2Sc2Pd3

> Among the records above, which one has the lowest energy relative to the elements?

LiSc6Pd5